1.
Y4CSe: relaxed, GGA-PBE.

Output
Crystal system   monoclinic
Excess energy over the best structure of this formula in the dataset   0.0176 eV/atom

abc: 6.4557 3.7661 6.7839
angles: 90.00 108.73 90.00
Space group P2/m (No. 10)
Asymmetric unit:
Y (0.2330, 0.0000, 0.2089) x2
Y (0.2458, 0.5000, 0.7857) x2
C (0.0000, 0.5000, 0.0000) x1
Se (0.0000, 0.0000, 0.5000) x1

2.
Y6CSe2: relaxed, GGA-PBE.

Output
Crystal system   monoclinic

abc: 6.5653 7.1678 11.1508
angles: 90.00 119.34 90.00
Space group P2_1/c (No. 14)
Asymmetric unit:
Y (0.0774, 0.0329, 0.2391) x4
Y (0.2096, 0.7002, 0.0675) x4
Y (0.3656, 0.1852, 0.0523) x4
C (0.0000, 0.0000, 0.0000) x2
Se (0.3446, 0.1243, 0.7823) x4

What VASP energy values result from the calculations? In sequence: -7.13 -6.96 eV per atom.
What magnetization values result from the calculations? In sequence: 0.00 0.03 Bohr magnetons per cell.